# CaOsSe, optimized geometry, DFT PBE
data_CaOsSe
_symmetry_space_group_name_H-M 'F -4 3 m'
_symmetry_Int_Tables_number 216
_symmetry_space_group_name_Hall 'F -4 2 3'
_cell_length_a 6.351
_cell_length_b 6.351
_cell_length_c 6.351
_cell_angle_alpha 90.00
_cell_angle_beta 90.00
_cell_angle_gamma 90.00
loop_
_atom_site_label
_atom_site_type_symbol
_atom_site_fract_x
_atom_site_fract_y
_atom_site_fract_z
Ca1 Ca 0.000 0.000 0.000
Os1 Os 0.000 0.000 0.500
Se1 Se 0.250 0.250 0.250
# **E_form (uncorrected)**: 31.4 kJ/mol of atoms
# **Spin magnetization**: 0.553 μB per atom
# **ΔE to the lowest computed polymorph**: 480 meV/atom